Record 1
Crystalline BaBiAs at its relaxed geometry. Source: Alexandria, functional PBE.

abc: 6.4597 9.1250 6.7981
angles: 90.00 90.00 90.00
Sites, in units of the cell vectors:
Ba 0.0000 0.1418 0.2500
Ba 0.0000 0.8582 0.7500
Ba 0.5000 0.3582 0.7500
Ba 0.5000 0.6418 0.2500
Bi 0.0000 0.5000 0.0000
Bi 0.0000 0.5000 0.5000
Bi 0.5000 0.0000 0.0000
Bi 0.5000 0.0000 0.5000
As 0.0000 0.2268 0.7500
As 0.0000 0.7732 0.2500
As 0.5000 0.2732 0.2500
As 0.5000 0.7268 0.7500

Results
Space-group type: No. 63
Formation energy from the elements in kJ/mol of atoms: -59.0
ΔE to the lowest computed polymorph in eV per atom: 0.062


Record 2
Crystalline Ba12Bi3As5 at its relaxed geometry. Source: Alexandria, functional PBE.

abc: 17.2668 17.2668 17.2668
angles: 109.47 109.47 109.47
Sites, in units of the cell vectors:
Ba 0.0375 0.2129 0.1277
Ba 0.0375 0.3246 0.9098
Ba 0.0853 0.7129 0.6754
Ba 0.0853 0.8723 0.4098
Ba 0.0902 0.6277 0.4147
Ba 0.0902 0.9625 0.6754
Ba 0.1277 0.0375 0.2129
Ba 0.1277 0.5902 0.9147
Ba 0.1754 0.2129 0.5853
Ba 0.1754 0.4625 0.5902
Ba 0.2129 0.1277 0.0375
Ba 0.2129 0.5853 0.1754
Ba 0.2871 0.3246 0.9147
Ba 0.2871 0.4625 0.3723
Ba 0.3246 0.9098 0.0375
Ba 0.3246 0.9147 0.2871
Ba 0.3723 0.2871 0.4625
Ba 0.3723 0.5853 0.9098
Ba 0.4098 0.0853 0.8723
Ba 0.4098 0.8246 0.5375
Ba 0.4147 0.0902 0.6277
Ba 0.4147 0.8246 0.7871
Ba 0.4625 0.3723 0.2871
Ba 0.4625 0.5902 0.1754
Ba 0.5375 0.4098 0.8246
Ba 0.5375 0.6277 0.7129
Ba 0.5853 0.1754 0.2129
Ba 0.5853 0.9098 0.3723
Ba 0.5902 0.1754 0.4625
Ba 0.5902 0.9147 0.1277
Ba 0.6277 0.4147 0.0902
Ba 0.6277 0.7129 0.5375
Ba 0.6754 0.0853 0.7129
Ba 0.6754 0.0902 0.9625
Ba 0.7129 0.5375 0.6277
Ba 0.7129 0.6754 0.0853
Ba 0.7871 0.4147 0.8246
Ba 0.7871 0.8723 0.9625
Ba 0.8246 0.5375 0.4098
Ba 0.8246 0.7871 0.4147
Ba 0.8723 0.4098 0.0853
Ba 0.8723 0.9625 0.7871
Ba 0.9098 0.0375 0.3246
Ba 0.9098 0.3723 0.5853
Ba 0.9147 0.1277 0.5902
Ba 0.9147 0.2871 0.3246
Ba 0.9625 0.6754 0.0902
Ba 0.9625 0.7871 0.8723
Bi 0.1250 0.2500 0.3750
Bi 0.1250 0.3750 0.7500
Bi 0.2500 0.3750 0.1250
Bi 0.2500 0.8750 0.6250
Bi 0.3750 0.1250 0.2500
Bi 0.3750 0.7500 0.1250
Bi 0.6250 0.2500 0.8750
Bi 0.6250 0.8750 0.7500
Bi 0.7500 0.1250 0.3750
Bi 0.7500 0.6250 0.8750
Bi 0.8750 0.6250 0.2500
Bi 0.8750 0.7500 0.6250
As 0.0000 0.0000 0.0000
As 0.0000 0.0000 0.5000
As 0.0000 0.5000 0.0000
As 0.0000 0.5000 0.5000
As 0.1250 0.7500 0.8750
As 0.1250 0.8750 0.2500
As 0.2500 0.1250 0.8750
As 0.2500 0.6250 0.3750
As 0.3750 0.2500 0.6250
As 0.3750 0.6250 0.7500
As 0.5000 0.0000 0.0000
As 0.5000 0.0000 0.5000
As 0.5000 0.5000 0.0000
As 0.5000 0.5000 0.5000
As 0.6250 0.3750 0.2500
As 0.6250 0.7500 0.3750
As 0.7500 0.3750 0.6250
As 0.7500 0.8750 0.1250
As 0.8750 0.1250 0.7500
As 0.8750 0.2500 0.1250

Results
Space-group type: No. 230
Formation energy from the elements in kJ/mol of atoms: -87.4


Record 3
Crystalline BaBiAs at its relaxed geometry. Source: Alexandria, functional PBE.

abc: 4.9952 4.9952 4.8739
angles: 90.00 90.00 120.00
Sites, in units of the cell vectors:
Ba 0.0000 0.0000 0.0000
Bi 0.6667 0.3333 0.4743
As 0.3333 0.6667 0.5751

Results
Space-group type: No. 156
Formation energy from the elements in kJ/mol of atoms: -63.9
ΔE to the lowest computed polymorph in eV per atom: 0.011


Record 4
Crystalline Ba2Bi2As at its relaxed geometry. Source: Alexandria, functional PBE.

abc: 8.3840 8.3840 5.2430
angles: 90.00 90.00 90.00
Sites, in units of the cell vectors:
Ba 0.1747 0.3253 0.0000
Ba 0.3253 0.8253 0.0000
Ba 0.6747 0.1747 0.0000
Ba 0.8253 0.6747 0.0000
Bi 0.1338 0.6338 0.5000
Bi 0.3662 0.1338 0.5000
Bi 0.6338 0.8662 0.5000
Bi 0.8662 0.3662 0.5000
As 0.0000 0.0000 0.5000
As 0.5000 0.5000 0.5000

Results
Space-group type: No. 127
Formation energy from the elements in kJ/mol of atoms: -60.1


Record 5
Crystalline Ba2BiAs2 at its relaxed geometry. Source: Alexandria, functional PBE.

abc: 6.5328 6.5328 8.4903
angles: 90.00 90.00 90.00
Sites, in units of the cell vectors:
Ba 0.0000 0.5000 0.2500
Ba 0.0000 0.5000 0.7500
Ba 0.5000 0.0000 0.2500
Ba 0.5000 0.0000 0.7500
Bi 0.0000 0.0000 0.0000
Bi 0.5000 0.5000 0.5000
As 0.0000 0.0000 0.3491
As 0.0000 0.0000 0.6509
As 0.5000 0.5000 0.1509
As 0.5000 0.5000 0.8491

Results
Space-group type: No. 139
Formation energy from the elements in kJ/mol of atoms: -60.8
ΔE to the lowest computed polymorph in eV per atom: 0.207


Record 6
Crystalline Ba3BiAs at its relaxed geometry. Source: Alexandria, functional PBE.

abc: 10.0679 10.0679 4.8037
angles: 90.00 90.00 110.99
Sites, in units of the cell vectors:
Ba 0.1550 0.8450 0.0000
Ba 0.1923 0.4305 0.5000
Ba 0.4305 0.1923 0.5000
Ba 0.5695 0.8077 0.5000
Ba 0.8077 0.5695 0.5000
Ba 0.8450 0.1550 0.0000
Bi 0.0000 0.0000 0.5000
Bi 0.5000 0.5000 0.0000
As 0.0000 0.5000 0.0000
As 0.5000 0.0000 0.0000

Results
Space-group type: No. 65
Formation energy from the elements in kJ/mol of atoms: -90.2
ΔE to the lowest computed polymorph in eV per atom: 0.045


Record 7
Crystalline BaBiAs at its relaxed geometry. Source: Alexandria, functional PBE.

abc: 11.2373 4.7441 8.3604
angles: 90.00 98.27 90.00
Sites, in units of the cell vectors:
Ba 0.1057 0.0000 0.3195
Ba 0.3943 0.5000 0.6805
Ba 0.6057 0.5000 0.3195
Ba 0.8943 0.0000 0.6805
Bi 0.1534 0.5000 0.9590
Bi 0.3466 0.0000 0.0410
Bi 0.6534 0.0000 0.9590
Bi 0.8466 0.5000 0.0410
As 0.0935 0.5000 0.6150
As 0.4065 0.0000 0.3850
As 0.5935 0.0000 0.6150
As 0.9065 0.5000 0.3850

Results
Space-group type: No. 12
Formation energy from the elements in kJ/mol of atoms: -65.0
ΔE to the lowest computed polymorph in eV per atom: 0.000


Record 8
Crystalline BaBi3As3 at its relaxed geometry. Source: Alexandria, functional PBE.

abc: 8.1633 8.1633 8.1633
angles: 90.00 90.00 90.00
Sites, in units of the cell vectors:
Ba 0.0000 0.0000 0.0000
Ba 0.5000 0.5000 0.5000
Bi 0.0000 0.2500 0.5000
Bi 0.0000 0.7500 0.5000
Bi 0.2500 0.5000 0.0000
Bi 0.5000 0.0000 0.2500
Bi 0.5000 0.0000 0.7500
Bi 0.7500 0.5000 0.0000
As 0.0000 0.5000 0.2500
As 0.0000 0.5000 0.7500
As 0.2500 0.0000 0.5000
As 0.5000 0.2500 0.0000
As 0.5000 0.7500 0.0000
As 0.7500 0.0000 0.5000

Results
Space-group type: No. 223
Formation energy from the elements in kJ/mol of atoms: 2.0


Record 9
Crystalline Ba6Bi2AsBr at its relaxed geometry. Source: Alexandria, functional PBE.

abc: 8.0886 9.4378 14.3492
angles: 90.00 123.07 90.00
Sites, in units of the cell vectors:
Ba 0.0981 0.0452 0.2441
Ba 0.0981 0.4548 0.7441
Ba 0.2268 0.6972 0.0687
Ba 0.2268 0.8028 0.5687
Ba 0.3960 0.1716 0.0699
Ba 0.3960 0.3284 0.5699
Ba 0.6040 0.6716 0.4301
Ba 0.6040 0.8284 0.9301
Ba 0.7732 0.1972 0.4313
Ba 0.7732 0.3028 0.9313
Ba 0.9019 0.5452 0.2559
Ba 0.9019 0.9548 0.7559
Bi 0.3040 0.1122 0.7474
Bi 0.3040 0.3878 0.2474
Bi 0.6960 0.6122 0.7526
Bi 0.6960 0.8878 0.2526
As 0.0000 0.0000 0.0000
As 0.0000 0.5000 0.5000
Br 0.5000 0.0000 0.5000
Br 0.5000 0.5000 0.0000

Results
Space-group type: No. 14


Record 10
Crystalline Ba6Bi2AsBr3 at its relaxed geometry. Source: Alexandria, functional PBE.

abc: 8.6613 8.6613 8.5044
angles: 99.76 99.76 120.04
Sites, in units of the cell vectors:
Ba 0.0761 0.3931 0.2282
Ba 0.2424 0.2424 0.7747
Ba 0.3931 0.0761 0.2282
Ba 0.6069 0.9239 0.7718
Ba 0.7576 0.7576 0.2253
Ba 0.9239 0.6069 0.7718
Bi 0.3327 0.6673 0.0000
Bi 0.6673 0.3327 0.0000
As 0.0000 0.0000 0.0000
Br 0.1636 0.8364 0.5000
Br 0.5000 0.5000 0.5000
Br 0.8364 0.1636 0.5000

Results
Space-group type: No. 12


Record 11
Crystalline BaBiAs2Br at its relaxed geometry. Source: Alexandria, functional PBE.

abc: 6.4062 6.4062 5.9611
angles: 90.00 90.00 90.00
Sites, in units of the cell vectors:
Ba 0.0000 0.0000 0.0000
Bi 0.5000 0.5000 0.5000
As 0.0000 0.5000 0.0000
As 0.5000 0.0000 0.0000
Br 0.0000 0.0000 0.5000

Results
Space-group type: No. 123
ΔE to the lowest computed polymorph in eV per atom: 0.812


Record 12
Crystalline Ba8Bi3AsBr4 at its relaxed geometry. Source: Alexandria, functional PBE.

abc: 9.8696 9.8696 9.8696
angles: 61.18 61.18 61.18
Sites, in units of the cell vectors:
Ba 0.2450 0.2450 0.2450
Ba 0.2548 0.7364 0.7364
Ba 0.2636 0.2636 0.7452
Ba 0.2636 0.7452 0.2636
Ba 0.7364 0.2548 0.7364
Ba 0.7364 0.7364 0.2548
Ba 0.7452 0.2636 0.2636
Ba 0.7550 0.7550 0.7550
Bi 0.0000 0.0000 0.5000
Bi 0.0000 0.5000 0.0000
Bi 0.5000 0.0000 0.0000
As 0.5000 0.5000 0.5000
Br 0.0000 0.0000 0.0000
Br 0.0000 0.5000 0.5000
Br 0.5000 0.0000 0.5000
Br 0.5000 0.5000 0.0000

Results
Space-group type: No. 166


| no. | E_tot (eV/atom) |
| --- | --- |
| 1 | -4.096 |
| 2 | -3.804 |
| 3 | -4.147 |
| 4 | -3.874 |
| 5 | -4.035 |
| 6 | -3.795 |
| 7 | -4.158 |
| 8 | -3.910 |
| 9 | -3.620 |
| 10 | -3.892 |
| 11 | -2.868 |
| 12 | -3.857 |